[1]
An optimized crystal structure of Sr2BrCl, computed with PBE-GGA.

Calculated values
Total DFT energy (no corrections) = -3.307 eV per atom
Relative energy among the computed polymorphs = 17 meV per atom

abc: 10.482 10.482 3.970
angles: 90.05 90.05 21.80
Sites, in units of the cell vectors:
Cl 0.273 0.273 0.126
Br 0.470 0.470 0.624
Sr 0.712 0.712 0.626
Sr 0.045 0.045 0.124



[2]
An optimized crystal structure of Be2P, computed with PBE-GGA.

Calculated values
Total DFT energy (no corrections) = -3.901 eV per atom
E_form = 0.39 eV/atom
Relative energy among the computed polymorphs = 522 meV per atom

abc: 4.230 4.230 10.079
angles: 90.00 90.00 120.00
Sites, in units of the cell vectors:
P 0.667 0.333 0.080
P 0.333 0.667 0.920
P 0.333 0.667 0.580
P 0.667 0.333 0.420
Be 0.836 0.673 0.250
Be 0.000 0.000 0.000
Be 0.164 0.836 0.750
Be 0.673 0.836 0.750
Be 0.000 0.000 0.500
Be 0.836 0.164 0.250
Be 0.327 0.164 0.250
Be 0.164 0.327 0.750